{"formula": "BaCrW2", "functional": "PBE-GGA", "state": "relaxed", "lattice_angstrom": [[3.9609, 0.0000, 0.0000], [0.0000, 3.9609, 0.0000], [0.0000, 0.0000, 5.3109]], "species": ["Ba", "Cr", "W", "W"], "fractional_positions": [[0.0000, 0.0000, 0.0000], [0.5000, 0.5000, 0.0000], [0.0000, 0.5000, 0.5000], [0.5000, 0.0000, 0.5000]], "dos_ef_per_ev_fu": 3.085, "e_form_ev_per_atom": 1.63}